No. 1
Material: Ti4Al2Tc
Method: DFT, PBE
State: relaxed

Properties
Volume   17.431 A^3/atom
Final energy   -6.67 eV per atom
Energy of formation   2.76 eV per formula unit
Density   4.674 g/cm³
M_tot   0.00 μB/f.u.

CIF file:
```
data_Ti4Al2Tc
_chemical_formula_sum 'Ti4 Al2 Tc1'
_cell_length_a 4.779
_cell_length_b 4.952
_cell_length_c 5.720
_cell_angle_alpha 115.65
_cell_angle_beta 90.00
_cell_angle_gamma 90.00
_space_group_name_H-M_alt 'P 1'
_space_group_IT_number 1
loop_
_space_group_symop_operation_xyz
'x,y,z'
loop_
_atom_site_label
_atom_site_type_symbol
_atom_site_fract_x
_atom_site_fract_y
_atom_site_fract_z
Ti1 Ti 0.500 0.641 0.282
Ti2 Ti 0.000 0.191 0.382
Ti3 Ti 0.500 0.359 0.718
Ti4 Ti 0.000 0.809 0.618
Al1 Al 0.500 0.113 0.226
Al2 Al 0.500 0.887 0.774
Tc1 Tc 0.000 0.500 0.000
```

=====

No. 2
Material: TiAlTc2
Method: DFT, PBE
State: relaxed

Properties
Volume   14.631 A^3/atom
Final energy   -8.51 eV per atom
Energy of formation   -1.66 eV per formula unit
Density   7.685 g/cm³
M_tot   0.00 μB/f.u.

CIF file:
```
data_TiAlTc2
_chemical_formula_sum 'Ti2 Al2 Tc4'
_cell_length_a 4.432
_cell_length_b 5.310
_cell_length_c 5.310
_cell_angle_alpha 69.50
_cell_angle_beta 90.00
_cell_angle_gamma 90.00
_space_group_name_H-M_alt 'P 1'
_space_group_IT_number 1
loop_
_space_group_symop_operation_xyz
'x,y,z'
loop_
_atom_site_label
_atom_site_type_symbol
_atom_site_fract_x
_atom_site_fract_y
_atom_site_fract_z
Tc1 Tc 0.750 0.367 0.860
Tc2 Tc 0.750 0.860 0.367
Tc3 Tc 0.250 0.633 0.140
Tc4 Tc 0.250 0.140 0.633
Ti1 Ti 0.750 0.867 0.867
Ti2 Ti 0.250 0.133 0.133
Al1 Al 0.250 0.639 0.639
Al2 Al 0.750 0.361 0.361
```

=====

No. 3
Material: TiAl2Tc2
Method: DFT, PBE
State: relaxed

Properties
Volume   14.971 A^3/atom
Final energy   -7.61 eV per atom
Energy of formation   -1.94 eV per formula unit
Density   6.607 g/cm³
M_tot   0.00 μB/f.u.

CIF file:
```
data_TiAl2Tc2
_chemical_formula_sum 'Ti2 Al4 Tc4'
_cell_length_a 9.139
_cell_length_b 4.614
_cell_length_c 5.877
_cell_angle_alpha 79.96
_cell_angle_beta 141.04
_cell_angle_gamma 90.00
_space_group_name_H-M_alt 'P 1'
_space_group_IT_number 1
loop_
_space_group_symop_operation_xyz
'x,y,z'
loop_
_atom_site_label
_atom_site_type_symbol
_atom_site_fract_x
_atom_site_fract_y
_atom_site_fract_z
Al1 Al 0.980 0.453 0.204
Al2 Al 0.020 0.547 0.796
Al3 Al 0.225 0.953 0.204
Al4 Al 0.775 0.047 0.796
Ti1 Ti 0.617 0.750 0.000
Ti2 Ti 0.383 0.250 0.000
Tc1 Tc 0.161 0.866 0.578
Tc2 Tc 0.417 0.366 0.578
Tc3 Tc 0.583 0.634 0.422
Tc4 Tc 0.839 0.134 0.422
```

=====

No. 4
Material: TiAlTc2
Method: DFT, PBE
State: relaxed

Properties
Volume   14.598 A^3/atom
Final energy   -8.50 eV per atom
Energy of formation   -1.61 eV per formula unit
Density   7.702 g/cm³
M_tot   0.00 μB/f.u.

CIF file:
```
data_TiAlTc2
_chemical_formula_sum 'Ti1 Al1 Tc2'
_cell_length_a 3.155
_cell_length_b 4.302
_cell_length_c 4.302
_cell_angle_alpha 90.00
_cell_angle_beta 90.00
_cell_angle_gamma 90.00
_space_group_name_H-M_alt 'P 1'
_space_group_IT_number 1
loop_
_space_group_symop_operation_xyz
'x,y,z'
loop_
_atom_site_label
_atom_site_type_symbol
_atom_site_fract_x
_atom_site_fract_y
_atom_site_fract_z
Tc1 Tc 0.000 0.000 0.500
Tc2 Tc 0.000 0.500 0.000
Ti1 Ti 0.500 0.000 0.000
Al1 Al 0.500 0.500 0.500
```